Ce5Bi2C2 | GGA-PBE | optimized geometry

The structure belongs to space group C2/m (No. 12); the cell edges are 12.711, 4.427 and 8.284 Å and the angles 90.00°, 92.80° and 90.00°. The inequivalent atoms are Ce at (0.000, 0.000, 0.000), Ce at (0.126, 0.000, 0.592), Ce at (0.236, 0.500, 0.842), Bi at (0.072, 0.500, 0.290) and C at (0.168, 0.000, 0.895).

Its density is 8.15 Mg/m³. The value obtained for the total moment is 10.941 Bohr magnetons per cell. As for the formation enthalpy at 0 K: -353 meV/atom.